(1)
{
  "formula": "CePRh",
  "functional": "PBE",
  "state": "optimized geometry",
  "lattice": [[-2.069, 2.069, 3.702], [2.069, -2.069, 3.702], [2.069, 2.069, -3.702]],
  "species": ["Ce", "P", "Rh"],
  "fractional_positions": [[0.000, 0.000, 0.000], [0.373, 0.373, 0.000], [0.683, 0.683, 0.000]],
  "formation_enthalpy_0k_mev_per_atom": -604,
  "space_group": "I4mm (107)"
}

(2)
{
  "formula": "Ce2PRh3",
  "functional": "PBE",
  "state": "optimized geometry",
  "lattice": [[2.775, 1.602, 3.902], [-2.775, 1.602, 3.902], [0.000, -3.204, 3.902]],
  "species": ["Ce", "Ce", "P", "Rh", "Rh", "Rh"],
  "fractional_positions": [[0.121, 0.121, 0.121], [0.879, 0.879, 0.879], [0.500, 0.500, 0.500], [0.000, 0.500, 0.500], [0.500, 0.000, 0.500], [0.500, 0.500, 0.000]],
  "formation_enthalpy_0k_mev_per_atom": -942,
  "relative_energy_ev_per_atom": 0.000,
  "space_group": "R-3m (166)"
}

(3)
{
  "formula": "Ce2P2Rh3",
  "functional": "PBE",
  "state": "optimized geometry",
  "lattice": [[5.087, -1.919, 0.000], [5.087, 1.919, 0.000], [-2.676, 0.000, 6.266]],
  "species": ["Ce", "Ce", "P", "P", "Rh", "Rh", "Rh"],
  "fractional_positions": [[0.136, 0.136, 0.274], [0.864, 0.864, 0.726], [0.151, 0.151, 0.726], [0.849, 0.849, 0.274], [0.371, 0.371, 0.058], [0.500, 0.500, 0.500], [0.629, 0.629, 0.942]],
  "formation_enthalpy_0k_mev_per_atom": -1024,
  "space_group": "C2/m (12)"
}

(4)
{
  "formula": "Ce2P3Rh3",
  "functional": "PBE",
  "state": "optimized geometry",
  "lattice": [[2.789, 0.000, 0.000], [0.000, 2.789, 0.000], [0.000, 0.000, 19.484]],
  "species": ["Ce", "Ce", "P", "P", "P", "Rh", "Rh", "Rh"],
  "fractional_positions": [[0.000, 0.000, 0.243], [0.000, 0.000, 0.757], [0.000, 0.000, 0.000], [0.000, 0.000, 0.385], [0.000, 0.000, 0.615], [0.000, 0.000, 0.116], [0.000, 0.000, 0.500], [0.000, 0.000, 0.884]],
  "formation_enthalpy_0k_mev_per_atom": 259,
  "space_group": "P4/mmm (123)"
}